Version w
# Ba2TaIr

An optimized crystal structure of Ba2TaIr (GGA-PBE, Alexandria via LeMat-Bulk).

Cell: 5.5345 5.5345 5.5345 Å, 60.00 60.00 60.00°
With the nearest neighbours (Å) after each atom.
Fractional positions:
Ba (0.2500, 0.2500, 0.2500)  4 Ta 3.39, 4 Ir 3.39
Ba (0.7500, 0.7500, 0.7500)  4 Ta 3.39, 4 Ir 3.39
Ta (0.0000, 0.0000, 0.0000)  8 Ba 3.39
Ir (0.5000, 0.5000, 0.5000)  8 Ba 3.39

Version x
# Ba2TaIr

An optimized crystal structure of Ba2TaIr (GGA-PBE, Alexandria via LeMat-Bulk).

Cell: 9.6417 9.6417 9.6417 Å, 26.05 26.05 26.05°
With the nearest neighbours (Å) after each atom.
Fractional positions:
Ba (0.0000, 0.0000, 0.0000)  3 Ir 3.38, 3 Ta 3.62
Ba (0.1801, 0.1801, 0.1801)  3 Ta 3.49, 3 Ir 3.74
Ta (0.4267, 0.4267, 0.4267)  3 Ir 2.53
Ir (0.7475, 0.7475, 0.7475)  3 Ta 2.53

Version y
# Ba2TaIr

An optimized crystal structure of Ba2TaIr (GGA-PBE, Alexandria via LeMat-Bulk).

Cell: 6.3339 6.3339 6.3339 Å, 140.09 140.09 57.71°
With the nearest neighbours (Å) after each atom.
Fractional positions:
Ba (0.2500, 0.7500, 0.5000)  4 Ba 3.06
Ba (0.7500, 0.2500, 0.5000)  4 Ba 3.06
Ta (0.0000, 0.0000, 0.0000)  4 Ir 3.06
Ir (0.5000, 0.5000, 0.0000)  4 Ta 3.06

Stability, descending: version x, version y, version w

Version w
# Ba2TaIr

An optimized crystal structure of Ba2TaIr (GGA-PBE, Alexandria via LeMat-Bulk).

Cell: 4.3034 4.3138 5.5659 Å, 90.00 90.00 90.00°
With the nearest neighbours (Å) after each atom.
Fractional positions:
Ba (0.0000, 0.0000, 0.0000)  4 Ba 3.05
Ba (0.5000, 0.5000, 0.0000)  4 Ba 3.05
Ta (0.0000, 0.5000, 0.5000)  4 Ir 3.05
Ir (0.5000, 0.0000, 0.5000)  4 Ta 3.05

Version x
# Ba2TaIr

An optimized crystal structure of Ba2TaIr (GGA-PBE, Alexandria via LeMat-Bulk).

Cell: 3.6138 3.6138 10.1439 Å, 90.00 90.00 90.00°
With the nearest neighbours (Å) after each atom.
Fractional positions:
Ba (0.0000, 0.0000, 0.0000)  1 Ir 3.38, 4 Ba 3.61, 4 Ta 3.78
Ba (0.5000, 0.5000, 0.4024)  1 Ta 3.27, 4 Ba 3.61
Ta (0.5000, 0.5000, 0.7249)  4 Ir 2.62
Ir (0.0000, 0.0000, 0.6669)  4 Ta 2.62

Version y
# Ba2TaIr

An optimized crystal structure of Ba2TaIr (GGA-PBE, Alexandria via LeMat-Bulk).

Cell: 10.0880 10.0880 3.8909 Å, 101.07 101.07 20.47°
With the nearest neighbours (Å) after each atom.
Fractional positions:
Ba (0.1470, 0.1470, 0.1455)  2 Ir 3.38, 2 Ta 3.46, 2 Ba 3.59
Ba (0.8530, 0.8530, 0.8545)  2 Ir 3.38, 2 Ta 3.46, 2 Ba 3.59
Ta (0.0000, 0.0000, 0.5000)  4 Ir 2.65
Ir (0.5000, 0.5000, 0.0000)  4 Ta 2.65

Version z
# Ba2TaIr

An optimized crystal structure of Ba2TaIr (GGA-PBE, Alexandria via LeMat-Bulk).

Cell: 3.3543 5.3219 6.0045 Å, 90.00 97.81 90.00°
With the nearest neighbours (Å) after each atom.
Fractional positions:
Ba (0.0882, 0.0000, 0.2567)  4 Ba 3.06-3.35, 2 Ir 3.25
Ba (0.9118, 0.0000, 0.7433)  4 Ba 3.06-3.35, 2 Ir 3.25
Ta (0.5000, 0.5000, 0.0000)  2 Ir 3.00, 2 Ta 3.35
Ir (0.5000, 0.5000, 0.5000)  2 Ta 3.00, 4 Ba 3.25, 2 Ir 3.35

Stability, descending: version x, version y, version w, version z

Version w
# Ba2TaIr

An optimized crystal structure of Ba2TaIr (GGA-PBE, Alexandria via LeMat-Bulk).

Cell: 8.7941 8.7941 8.7941 Å, 94.38 94.38 147.93°
With the nearest neighbours (Å) after each atom.
Fractional positions:
Ba (0.3750, 0.0414, 0.1664)  2 Ir 3.21
Ba (0.7914, 0.6250, 0.6664)  2 Ir 3.21
Ba (0.8750, 0.2086, 0.8336)  2 Ir 3.21
Ba (0.9586, 0.1250, 0.3336)  2 Ir 3.21
Ta (0.2500, 0.7500, 0.5000)  2 Ir 2.43
Ta (0.5000, 0.5000, 0.0000)  2 Ir 2.43
Ir (0.0000, 0.0000, 0.0000)  2 Ta 2.43
Ir (0.7500, 0.2500, 0.5000)  2 Ta 2.43

Version x
# Ba2TaIr

An optimized crystal structure of Ba2TaIr (GGA-PBE, Alexandria via LeMat-Bulk).

Cell: 6.7991 6.7991 6.7991 Å, 147.19 129.60 61.46°
With the nearest neighbours (Å) after each atom.
Fractional positions:
Ba (0.0000, 0.0000, 0.0000)  4 Ir 3.53, 2 Ta 3.61, 6 Ba 3.75-3.95
Ba (0.7043, 0.2043, 0.5000)  2 Ir 3.59, 4 Ta 3.71, 6 Ba 3.75-3.95
Ta (0.3158, 0.8158, 0.5000)  2 Ir 2.44
Ir (0.4449, 0.4449, 0.0000)  2 Ta 2.44

Version y
# Ba2TaIr

An optimized crystal structure of Ba2TaIr (GGA-PBE, Alexandria via LeMat-Bulk).

Cell: 6.0408 6.0408 3.3513 Å, 90.00 90.00 120.31°
With the nearest neighbours (Å) after each atom.
Fractional positions:
Ba (0.0000, 0.5000, 0.0000)  4 Ba 3.01-3.35
Ba (0.5000, 0.0000, 0.0000)  4 Ba 3.01-3.35
Ta (0.0000, 0.0000, 0.5000)  2 Ir 3.01, 2 Ta 3.35
Ir (0.5000, 0.5000, 0.5000)  2 Ta 3.01, 2 Ir 3.35

Version z
# Ba2TaIr

An optimized crystal structure of Ba2TaIr (GGA-PBE, Alexandria via LeMat-Bulk).

Cell: 10.9912 10.9912 10.9912 Å, 17.93 17.93 17.93°
With the nearest neighbours (Å) after each atom.
Fractional positions:
Ba (0.2413, 0.2413, 0.2413)  3 Ir 3.13, 6 Ba 3.42
Ba (0.7587, 0.7587, 0.7587)  3 Ir 3.13, 6 Ba 3.42
Ta (0.0000, 0.0000, 0.0000)  6 Ta 3.42, 6 Ba 3.58
Ir (0.5000, 0.5000, 0.5000)  6 Ba 3.13, 6 Ir 3.42

Stability, descending: version x, version w, version y, version z

Version w
# BaTaIr

An optimized crystal structure of BaTaIr (GGA-PBE, Alexandria via LeMat-Bulk).

Cell: 6.8939 6.8939 6.8939 Å, 150.79 150.79 41.78°
With the nearest neighbours (Å) after each atom.
Fractional positions:
Ba (0.0000, 0.0000, 0.0000)  4 Ba 3.48, 5 Ta 3.53-3.81, 5 Ir 3.63-3.77
Ta (0.7258, 0.7258, 0.0000)  4 Ir 2.61
Ir (0.2930, 0.2930, 0.0000)  4 Ta 2.61

Version x
# BaTaIr

An optimized crystal structure of BaTaIr (GGA-PBE, Alexandria via LeMat-Bulk).

Cell: 4.7071 4.7071 4.7071 Å, 60.00 60.00 60.00°
With the nearest neighbours (Å) after each atom.
Fractional positions:
Ba (0.0000, 0.0000, 0.0000)  4 Ir 2.88, 4 Ta 2.88
Ta (0.2500, 0.2500, 0.2500)  4 Ba 2.88
Ir (0.7500, 0.7500, 0.7500)  4 Ba 2.88

Stability, descending: version w, version x

Version w
# BaTaIr

An optimized crystal structure of BaTaIr (GGA-PBE, Alexandria via LeMat-Bulk).

Cell: 4.2889 4.2889 5.4798 Å, 90.00 90.00 120.00°
With the nearest neighbours (Å) after each atom.
Fractional positions:
Ba (0.0000, 0.0000, 0.0000)  6 Ir 3.52-3.88, 6 Ta 3.64-3.75
Ta (0.3333, 0.6667, 0.4868)  3 Ir 2.50
Ir (0.6667, 0.3333, 0.5446)  3 Ta 2.50

Version x
# BaTaIr

An optimized crystal structure of BaTaIr (GGA-PBE, Alexandria via LeMat-Bulk).

Cell: 4.8356 4.8356 4.8356 Å, 60.00 60.00 60.00°
With the nearest neighbours (Å) after each atom.
Fractional positions:
Ba (0.0000, 0.0000, 0.0000)  4 Ir 2.96
Ta (0.5000, 0.5000, 0.5000)  4 Ir 2.96
Ir (0.7500, 0.7500, 0.7500)  4 Ba 2.96, 4 Ta 2.96

Stability, descending: version w, version x

Version w
# Ba2TcIr

An optimized crystal structure of Ba2TcIr (GGA-PBE, Alexandria via LeMat-Bulk).

Cell: 8.6720 8.6720 8.6720 Å, 94.33 94.33 148.11°
With the nearest neighbours (Å) after each atom.
Fractional positions:
Ba (0.3750, 0.2031, 0.3281)  2 Ir 3.15
Ba (0.7969, 0.1250, 0.1719)  2 Ir 3.15
Ba (0.8750, 0.0469, 0.6719)  2 Ir 3.15
Ba (0.9531, 0.6250, 0.8281)  2 Ir 3.15
Tc (0.2500, 0.7500, 0.5000)  2 Ir 2.38
Tc (0.5000, 0.5000, 0.0000)  2 Ir 2.38
Ir (0.0000, 0.0000, 0.0000)  2 Tc 2.38
Ir (0.7500, 0.2500, 0.5000)  2 Tc 2.38

Version x
# Ba2TcIr

An optimized crystal structure of Ba2TcIr (GGA-PBE, Alexandria via LeMat-Bulk).

Cell: 4.3277 6.3675 6.3675 Å, 47.13 90.00 90.00°
With the nearest neighbours (Å) after each atom.
Fractional positions:
Ba (0.0000, 0.0000, 0.0000)  3 Ir 3.37-3.63, 4 Tc 3.54
Ba (0.5000, 0.2861, 0.2861)  3 Tc 3.34-3.68, 4 Ir 3.53
Tc (0.5000, 0.6011, 0.6011)  2 Ir 2.39
Ir (0.0000, 0.6888, 0.6888)  2 Tc 2.39

Stability, descending: version x, version w

Version w
# Ba2Tc2Ir

An optimized crystal structure of Ba2Tc2Ir (GGA-PBE, Alexandria via LeMat-Bulk).

Cell: 10.6515 10.6515 10.6515 Å, 160.89 160.89 27.16°
With the nearest neighbours (Å) after each atom.
Fractional positions:
Ba (0.0957, 0.0957, 0.0000)  4 Ir 3.19, 4 Ba 3.54
Ba (0.9043, 0.9043, 0.0000)  4 Ir 3.19, 4 Ba 3.54
Tc (0.2500, 0.7500, 0.5000)  4 Tc 2.50
Tc (0.7500, 0.2500, 0.5000)  4 Tc 2.50
Ir (0.5000, 0.5000, 0.0000)  8 Ba 3.19, 4 Ir 3.54

Version x
# Ba2Tc2Ir

An optimized crystal structure of Ba2Tc2Ir (GGA-PBE, Alexandria via LeMat-Bulk).

Cell: 9.3273 9.3273 3.1270 Å, 90.00 90.00 90.00°
With the nearest neighbours (Å) after each atom.
Fractional positions:
Ba (0.2061, 0.2939, 0.0000)  2 Ba 3.13, 6 Tc 3.22-3.31, 2 Ir 3.35
Ba (0.2939, 0.7939, 0.0000)  2 Ba 3.13, 6 Tc 3.22-3.31, 2 Ir 3.35
Ba (0.7061, 0.2061, 0.0000)  2 Ba 3.13, 6 Tc 3.22-3.31, 2 Ir 3.35
Ba (0.7939, 0.7061, 0.0000)  2 Ba 3.13, 6 Tc 3.22-3.31, 2 Ir 3.35
Tc (0.0805, 0.5805, 0.5000)  1 Tc 2.12
Tc (0.4195, 0.0805, 0.5000)  1 Tc 2.12
Tc (0.5805, 0.9195, 0.5000)  1 Tc 2.12
Tc (0.9195, 0.4195, 0.5000)  1 Tc 2.12
Ir (0.0000, 0.0000, 0.0000)  2 Ir 3.13, 4 Ba 3.35
Ir (0.5000, 0.5000, 0.0000)  2 Ir 3.13, 4 Ba 3.35

Stability, descending: version w, version x

Version w
# BaTe2Ir

An optimized crystal structure of BaTe2Ir (GGA-PBE, Alexandria via LeMat-Bulk).

Cell: 6.1032 6.1032 6.1032 Å, 141.27 117.35 76.14°
With the nearest neighbours (Å) after each atom.
Fractional positions:
Ba (0.0000, 0.0000, 0.0000)  8 Te 3.60-3.71, 4 Ir 3.76
Te (0.3241, 0.8241, 0.5000)  2 Ir 2.64
Te (0.6759, 0.1759, 0.5000)  2 Ir 2.64
Ir (0.5000, 0.5000, 0.0000)  4 Te 2.64

Version x
# BaTe2Ir

An optimized crystal structure of BaTe2Ir (GGA-PBE, Alexandria via LeMat-Bulk).

Cell: 5.3556 5.3556 5.3556 Å, 60.00 60.00 60.00°
With the nearest neighbours (Å) after each atom.
Fractional positions:
Ba (0.0000, 0.0000, 0.0000)  8 Te 3.28
Te (0.2500, 0.2500, 0.2500)  4 Ir 3.28, 4 Ba 3.28
Te (0.7500, 0.7500, 0.7500)  4 Ba 3.28, 4 Ir 3.28
Ir (0.5000, 0.5000, 0.5000)  8 Te 3.28

Version y
# BaTe2Ir

An optimized crystal structure of BaTe2Ir (GGA-PBE, Alexandria via LeMat-Bulk).

Cell: 5.2177 5.2177 3.9880 Å, 90.00 90.00 90.00°
With the nearest neighbours (Å) after each atom.
Fractional positions:
Ba (0.0000, 0.0000, 0.0000)  8 Te 3.28
Te (0.0000, 0.5000, 0.5000)  4 Ba 3.28, 4 Ir 3.28
Te (0.5000, 0.0000, 0.5000)  4 Ba 3.28, 4 Ir 3.28
Ir (0.5000, 0.5000, 0.0000)  8 Te 3.28

Stability, descending: version w, version y, version x

Version w
# Ba4TeIr

An optimized crystal structure of Ba4TeIr (GGA-PBE, Alexandria via LeMat-Bulk).

Cell: 9.9872 9.9872 7.7979 Å, 111.53 111.53 111.21°
With the nearest neighbours (Å) after each atom.
Fractional positions:
Ba (0.0544, 0.6402, 0.8835)  1 Ir 3.00
Ba (0.1852, 0.2692, 0.6625)  2 Ir 3.12-3.22
Ba (0.2692, 0.1852, 0.1625)  2 Ir 3.12-3.22
Ba (0.3598, 0.9456, 0.6165)  1 Ir 3.00
Ba (0.6402, 0.0544, 0.3835)  1 Ir 3.00
Ba (0.7308, 0.8148, 0.8375)  2 Ir 3.12-3.22
Ba (0.8148, 0.7308, 0.3375)  2 Ir 3.12-3.22
Ba (0.9456, 0.3598, 0.1165)  1 Ir 3.00
Te (0.3807, 0.6193, 0.2500)  8 Ba 3.60-3.78
Te (0.6193, 0.3807, 0.7500)  8 Ba 3.60-3.78
Ir (0.0820, 0.9180, 0.2500)  6 Ba 3.00-3.22
Ir (0.9180, 0.0820, 0.7500)  6 Ba 3.00-3.22

Version x
# Ba4TeIr

An optimized crystal structure of Ba4TeIr (GGA-PBE, Alexandria via LeMat-Bulk).

Cell: 6.8638 6.8638 6.8638 Å, 60.00 60.00 60.00°
With the nearest neighbours (Å) after each atom.
Fractional positions:
Ba (0.1244, 0.1244, 0.1244)  6 Ba 3.42-3.45
Ba (0.1244, 0.1244, 0.6268)  6 Ba 3.42-3.45
Ba (0.1244, 0.6268, 0.1244)  6 Ba 3.42-3.45
Ba (0.6268, 0.1244, 0.1244)  6 Ba 3.42-3.45
Te (0.5000, 0.5000, 0.5000)  12 Ba 4.03, 4 Ir 4.20
Ir (0.7500, 0.7500, 0.7500)  12 Ba 4.02, 4 Te 4.20

Stability, descending: version w, version x

Version w
# BaTi3Ir

An optimized crystal structure of BaTi3Ir (GGA-PBE, Alexandria via LeMat-Bulk).

Cell: 4.8301 4.8301 4.8301 Å, 90.00 90.00 90.00°
With the nearest neighbours (Å) after each atom.
Fractional positions:
Ba (0.0000, 0.0000, 0.0000)  6 Ti 2.42
Ti (0.0000, 0.0000, 0.5000)  2 Ba 2.42
Ti (0.0000, 0.5000, 0.0000)  2 Ba 2.42
Ti (0.5000, 0.0000, 0.0000)  2 Ba 2.42
Ir (0.5000, 0.5000, 0.5000)  12 Ti 3.42

Version x
# BaTi3Ir

An optimized crystal structure of BaTi3Ir (GGA-PBE, Alexandria via LeMat-Bulk).

Cell: 4.9557 4.9557 4.9557 Å, 90.00 90.00 90.00°
With the nearest neighbours (Å) after each atom.
Fractional positions:
Ba (0.0000, 0.0000, 0.0000)  12 Ti 3.50
Ti (0.0000, 0.5000, 0.5000)  2 Ir 2.48
Ti (0.5000, 0.0000, 0.5000)  2 Ir 2.48
Ti (0.5000, 0.5000, 0.0000)  2 Ir 2.48
Ir (0.5000, 0.5000, 0.5000)  6 Ti 2.48

Stability, descending: version x, version w

Version w
# Ba2TlIr

An optimized crystal structure of Ba2TlIr (GGA-PBE, Alexandria via LeMat-Bulk).

Cell: 5.6584 5.6584 5.6584 Å, 60.00 60.00 60.00°
With the nearest neighbours (Å) after each atom.
Fractional positions:
Ba (0.2500, 0.2500, 0.2500)  4 Ir 3.47, 4 Tl 3.47
Ba (0.7500, 0.7500, 0.7500)  4 Ir 3.47, 4 Tl 3.47
Tl (0.0000, 0.0000, 0.0000)  8 Ba 3.47
Ir (0.5000, 0.5000, 0.5000)  8 Ba 3.47

Version x
# Ba2TlIr

An optimized crystal structure of Ba2TlIr (GGA-PBE, Alexandria via LeMat-Bulk).

Cell: 9.4920 9.4920 9.4920 Å, 27.10 27.10 27.10°
With the nearest neighbours (Å) after each atom.
Fractional positions:
Ba (0.2286, 0.2286, 0.2286)  3 Ir 3.08
Ba (0.7714, 0.7714, 0.7714)  3 Ir 3.08
Tl (0.0000, 0.0000, 0.0000)  6 Ba 3.85
Ir (0.5000, 0.5000, 0.5000)  6 Ba 3.08

Version y
# Ba2TlIr

An optimized crystal structure of Ba2TlIr (GGA-PBE, Alexandria via LeMat-Bulk).

Cell: 7.0918 7.0918 7.0918 Å, 148.10 134.50 56.64°
With the nearest neighbours (Å) after each atom.
Fractional positions:
Ba (0.0000, 0.0000, 0.0000)  4 Ir 3.37, 2 Tl 3.55, 2 Ba 3.66
Ba (0.6937, 0.1937, 0.5000)  2 Ir 3.28, 2 Ba 3.66
Tl (0.3191, 0.8191, 0.5000)  2 Ir 2.82
Ir (0.4824, 0.4824, 0.0000)  2 Tl 2.82

Stability, descending: version y, version x, version w